# MgZn2Cd PBE optimized geometry
data_MgZn2Cd
_chemical_formula_sum 'Mg4 Zn8 Cd4'
_symmetry_space_group_name_H-M 'F m -3 m'
_symmetry_Int_Tables_number 225
_symmetry_space_group_name_Hall '-F 4 2 3'
_cell_length_a 6.660
_cell_length_b 6.660
_cell_length_c 6.660
_cell_angle_alpha 90.00
_cell_angle_beta 90.00
_cell_angle_gamma 90.00
loop_
_atom_site_label
_atom_site_type_symbol
_atom_site_fract_x
_atom_site_fract_y
_atom_site_fract_z
Mg1 Mg 0.000 0.000 0.000
Zn1 Zn 0.250 0.250 0.250
Cd1 Cd 0.000 0.000 0.500
# **Density of states at the Fermi level**: 0.316 states/eV/atom
# **Calculated total energy**: -1.251 eV per atom